# SnPCl3

An optimized crystal structure of SnPCl3 (GGA-PBE, Alexandria via LeMat-Bulk).

Output
* uncorrected formation energy: -0.0039 eV per atom
* offset from the most stable computed form: 0.000 eV/atom
* N(E_F): 0.90 states/eV/atom

Geometry as CIF:
```
data_SnPCl3
_space_group_name_H-M_alt 'P m -3 m'
_space_group_IT_number 221
_space_group_name_Hall '-P 4 2 3'
_cell_length_a 4.9773
_cell_length_b 4.9773
_cell_length_c 4.9773
_cell_angle_alpha 90.00
_cell_angle_beta 90.00
_cell_angle_gamma 90.00
loop_
_atom_site_label
_atom_site_type_symbol
_atom_site_fract_x
_atom_site_fract_y
_atom_site_fract_z
Sn1 Sn 0.0000 0.0000 0.0000
P1 P 0.5000 0.5000 0.5000
Cl1 Cl 0.0000 0.5000 0.5000
```


# SnP3Cl

An optimized crystal structure of SnP3Cl (GGA-PBE, Alexandria via LeMat-Bulk).

Output
* uncorrected formation energy: 1.2372 eV per atom
* offset from the most stable computed form: 0.107 eV/atom
* N(E_F): 0.70 states/eV/atom

Geometry as CIF:
```
data_SnP3Cl
_space_group_name_H-M_alt 'P m -3 m'
_space_group_IT_number 221
_space_group_name_Hall '-P 4 2 3'
_cell_length_a 5.0933
_cell_length_b 5.0933
_cell_length_c 5.0933
_cell_angle_alpha 90.00
_cell_angle_beta 90.00
_cell_angle_gamma 90.00
loop_
_atom_site_label
_atom_site_type_symbol
_atom_site_fract_x
_atom_site_fract_y
_atom_site_fract_z
Sn1 Sn 0.0000 0.0000 0.0000
P1 P 0.0000 0.0000 0.5000
Cl1 Cl 0.5000 0.5000 0.5000
```


# SnPCl9

An optimized crystal structure of SnPCl9 (GGA-PBE, Alexandria via LeMat-Bulk).

Output
* uncorrected formation energy: -0.7701 eV per atom
* offset from the most stable computed form: 0.003 eV/atom
* N(E_F): 0.00 states/eV/atom

Geometry as CIF:
```
data_SnPCl9
_space_group_name_H-M_alt 'P -1'
_space_group_IT_number 2
_cell_length_a 7.5535
_cell_length_b 9.5911
_cell_length_c 9.8943
_cell_angle_alpha 101.25
_cell_angle_beta 97.24
_cell_angle_gamma 92.52
loop_
_space_group_symop_operation_xyz
'x,y,z'
'-x,-y,-z'
loop_
_atom_site_label
_atom_site_type_symbol
_atom_site_fract_x
_atom_site_fract_y
_atom_site_fract_z
Sn1 Sn 0.1120 0.1471 0.1675
P1 P 0.4440 0.3100 0.7194
Cl1 Cl 0.0116 0.7029 0.6437
Cl2 Cl 0.0694 0.3238 0.0252
Cl3 Cl 0.1338 0.9529 0.2934
Cl4 Cl 0.2025 0.9707 0.9489
Cl5 Cl 0.2719 0.4580 0.7326
Cl6 Cl 0.3314 0.1395 0.5902
Cl7 Cl 0.3454 0.6200 0.3521
Cl8 Cl 0.4260 0.2210 0.2388
Cl9 Cl 0.4817 0.7325 0.0973
```


# SnPCl9

An optimized crystal structure of SnPCl9 (GGA-PBE, Alexandria via LeMat-Bulk).

Output
* uncorrected formation energy: -0.7734 eV per atom
* offset from the most stable computed form: 0.000 eV/atom
* N(E_F): 0.00 states/eV/atom

Geometry as CIF:
```
data_SnPCl9
_space_group_name_H-M_alt 'C m m e'
_space_group_IT_number 67
_space_group_name_Hall '-C 2a 2'
_cell_length_a 12.5767
_cell_length_b 17.0511
_cell_length_c 6.7496
_cell_angle_alpha 90.00
_cell_angle_beta 90.00
_cell_angle_gamma 90.00
loop_
_atom_site_label
_atom_site_type_symbol
_atom_site_fract_x
_atom_site_fract_y
_atom_site_fract_z
Sn1 Sn 0.0000 0.2500 0.0860
P1 P 0.2500 0.0000 0.5000
Cl1 Cl 0.0000 0.1053 0.0788
Cl2 Cl 0.0000 0.2500 0.7329
Cl3 Cl 0.1601 0.0659 0.6690
Cl4 Cl 0.1635 0.2500 0.2609
```